Crystalline TiCuIr at its relaxed geometry, computed with PBE.

The structure in POSCAR format:
```
TiCuIr
1.0
-3.202 0.019 -0.124
-0.053 -3.075 0.900
1.480 2.700 3.606
Ir Cu Ti
1 1 1
Direct
0.611 0.611 0.221
0.285 0.285 0.571
0.954 0.954 0.908
```

Formation energy from the elements, eV/atom: -0.48
Density of states at the Fermi level, states/eV per cell: 0.86
Energy relative to the lowest polymorph listed for this composition, meV per atom: 0